[1]
Below is a relaxed Ag2RuBr crystal, with properties calculated at the PBE level.

a b c (Å): 4.730 3.952 3.952
angles (deg): 90.00 90.00 90.00
Each line ends with the local moment (μB).
Sites, in units of the cell vectors:
Ru1 0.500 0.000 0.500  1.07
Br1 0.500 0.500 0.000  0.01
Ag1 0.000 0.000 0.000  0.01
Ag2 0.000 0.500 0.500  0.01

DOS(E_F) in states/eV/cell: 5.13
Magnetization in μB/f.u.: 1.1
Energy relative to the elements, uncorrected in meV per atom: 768
Final energy in eV/cell: -13.58
Calculated density in Mg/m³: 8.92
SG: P4/mmm (123)
E above lowest polymorph in meV per atom: 296


[2]
Below is a relaxed TbTlSnI6 crystal, with properties calculated at the PBE level.

a b c (Å): 8.046 8.046 15.214
angles (deg): 90.00 90.00 120.00
Sites, in units of the cell vectors:
Tb1 0.667 0.333 0.250
Tb2 0.333 0.667 0.750
Tl1 0.000 0.000 0.000
Tl2 0.000 0.000 0.500
Sn1 0.333 0.667 0.250
Sn2 0.667 0.333 0.750
I1 0.644 0.631 0.133
I2 0.987 0.356 0.133
I3 0.356 0.987 0.633
I4 0.013 0.644 0.867
I5 0.369 0.356 0.367
I6 0.987 0.631 0.367
I7 0.631 0.987 0.867
I8 0.644 0.013 0.367
I9 0.013 0.369 0.633
I10 0.369 0.013 0.133
I11 0.631 0.644 0.633
I12 0.356 0.369 0.867

DOS(E_F) in states/eV/cell: 0.00
Magnetization in μB/f.u.: 0.0
Energy relative to the elements, uncorrected in meV per atom: -941
Final energy in eV/cell: -57.53
Calculated density in Mg/m³: 4.84
SG: P-31c (163)


[3]
Below is a relaxed LiTb2IrO5 crystal, with properties calculated at the PBE level.

a b c (Å): 3.984 5.720 6.510
angles (deg): 116.06 107.82 90.00
Sites, in units of the cell vectors:
Li1 0.000 0.500 0.000
Tb1 0.210 0.210 0.419
Tb2 0.790 0.790 0.581
Ir1 0.500 0.000 0.000
O1 0.647 0.918 0.295
O2 0.353 0.082 0.705
O3 0.353 0.623 0.705
O4 0.647 0.377 0.295
O5 0.000 0.000 0.000

DOS(E_F) in states/eV/cell: 1.01
Magnetization in μB/f.u.: 0.0
Energy relative to the elements, uncorrected in meV per atom: -2209
Final energy in eV/cell: -64.70
Calculated density in Mg/m³: 7.91
SG: Immm (71)


[4]
Below is a relaxed MgBeO3 crystal, with properties calculated at the PBE level.

a b c (Å): 3.492 3.492 3.492
angles (deg): 90.00 90.00 90.00
Each line ends with the local moment (μB).
Sites, in units of the cell vectors:
Mg1 0.000 0.000 0.000  -0.01
Be1 0.500 0.500 0.500  -0.02
O1 0.500 0.500 0.000  0.58
O2 0.500 0.000 0.500  0.58
O3 0.000 0.500 0.500  0.58

DOS(E_F) in states/eV/cell: 2.24
Magnetization in μB/f.u.: 2.0
Energy relative to the elements, uncorrected in meV per atom: -1396
Final energy in eV/cell: -27.18
Calculated density in Mg/m³: 3.17
SG: Pm-3m (221)


[5]
Below is a relaxed NaDyP2O6 crystal, with properties calculated at the PBE level.

a b c (Å): 6.432 6.432 8.040
angles (deg): 104.84 104.84 115.07
Sites, in units of the cell vectors:
Na1 0.118 0.882 0.250
Na2 0.882 0.118 0.750
Dy1 0.533 0.467 0.250
Dy2 0.467 0.533 0.750
P1 0.329 0.010 0.757
P2 0.990 0.671 0.743
P3 0.671 0.990 0.243
P4 0.010 0.329 0.257
O1 0.918 0.515 0.276
O2 0.485 0.082 0.224
O3 0.082 0.485 0.724
O4 0.515 0.918 0.776
O5 0.079 0.280 0.087
O6 0.720 0.921 0.413
O7 0.921 0.720 0.913
O8 0.280 0.079 0.587
O9 0.258 0.420 0.426
O10 0.580 0.742 0.074
O11 0.742 0.580 0.574
O12 0.420 0.258 0.926

DOS(E_F) in states/eV/cell: 0.00
Magnetization in μB/f.u.: 0.0
Energy relative to the elements, uncorrected in meV per atom: -2537
Final energy in eV/cell: -143.72
Calculated density in Mg/m³: 4.31
SG: C2/c (15)


[6]
Below is a relaxed LiBi4Pt2 crystal, with properties calculated at the PBE level.

a b c (Å): 4.520 4.520 10.405
angles (deg): 77.46 77.46 60.00
Sites, in units of the cell vectors:
Li1 0.000 0.000 0.000
Bi1 0.384 0.384 0.847
Bi2 0.205 0.205 0.384
Bi3 0.795 0.795 0.616
Bi4 0.616 0.616 0.153
Pt1 0.090 0.090 0.729
Pt2 0.910 0.910 0.271

Energy of formation from the pure elements in eV per atom: -0.339
DOS(E_F) in states/eV/cell: 2.05
Magnetization in μB/f.u.: 0.0
Final energy in eV/cell: -31.89
Calculated density in Mg/m³: 11.49
SG: R-3m (166)